No. 1
A plane-wave DFT calculation with PBE was carried out for a geometry-optimized Li3SiGe structure.

The density of states at the Fermi level is 0.61 states/eV/f.u. The energy comes out at -3.36 eV per atom.

Unit cell a=8.259 b=9.884 c=4.309 alpha=90.00 beta=90.00 gamma=90.00
Space group Cmcm (No. 63)
Unique sites:
Li  0.000  0.070  0.250
Li  0.178  0.327  0.250
Si  0.000  0.441  0.750
Ge  0.000  0.204  0.750



No. 2
A plane-wave DFT calculation with PBE was carried out for a geometry-optimized Pt2Se structure.

The density of states at the Fermi level is 1.18 states/eV/f.u. The energy comes out at -5.22 eV per atom.

Unit cell a=3.7935 b=3.7935 c=4.3052 alpha=90.00 beta=90.00 gamma=120.00
Space group P-3m1 (No. 164)
Unique sites:
Pt  0.3333  0.6667  0.3266
Se  0.0000  0.0000  0.0000



No. 3
A plane-wave DFT calculation with PBE was carried out for a geometry-optimized SbOsSe2N structure.

The density of states at the Fermi level is 5.58 states/eV/f.u. The energy comes out at -4.37 eV per atom.

Unit cell a=5.294 b=5.294 c=3.814 alpha=90.00 beta=90.00 gamma=90.00
Space group P4/mmm (No. 123)
Unique sites:
Sb  0.000  0.000  0.000
Os  0.500  0.500  0.500
Se  0.000  0.500  0.000
N  0.000  0.000  0.500